Entry 1:
# LiCe4Se6

A relaxed structure of LiCe4Se6 (GGA-PBE, the Alexandria database).

Summary:
The calculation puts the energy at -5.948 eV per atom. For the magnetic moment, the calculation gives 10.08 μB per cell. The symmetry is R-3c, No. 167.

Lattice parameters (Å, degrees): 8.1820 8.1820 8.1820 90.81 90.81 90.81
Closest atoms and distances in Å follow each position.
Positions (direct):
Li  0.0000  0.0000  0.0000  6 Se 2.67
Li  0.5000  0.5000  0.5000  6 Se 2.67
Ce  0.1351  0.7500  0.3649  8 Se 3.05-3.20
Ce  0.2500  0.2500  0.2500  6 Se 2.92
Ce  0.2500  0.6351  0.8649  8 Se 3.05-3.20
Ce  0.3649  0.1351  0.7500  8 Se 3.05-3.20
Ce  0.6351  0.8649  0.2500  8 Se 3.05-3.20
Ce  0.7500  0.3649  0.1351  8 Se 3.05-3.20
Ce  0.7500  0.7500  0.7500  6 Se 2.92
Ce  0.8649  0.2500  0.6351  8 Se 3.05-3.20
Se  0.0600  0.9187  0.6891  1 Li 2.67, 1 Ce 2.92
Se  0.0813  0.3109  0.9400  1 Li 2.67, 1 Ce 2.92
Se  0.1891  0.4187  0.5600  1 Li 2.67, 1 Ce 2.92
Se  0.3109  0.9400  0.0813  1 Li 2.67, 1 Ce 2.92
Se  0.4187  0.5600  0.1891  1 Li 2.67, 1 Ce 2.92
Se  0.4400  0.8109  0.5813  1 Li 2.67, 1 Ce 2.92
Se  0.5600  0.1891  0.4187  1 Li 2.67, 1 Ce 2.92
Se  0.5813  0.4400  0.8109  1 Li 2.67, 1 Ce 2.92
Se  0.6891  0.0600  0.9187  1 Li 2.67, 1 Ce 2.92
Se  0.8109  0.5813  0.4400  1 Li 2.67, 1 Ce 2.92
Se  0.9187  0.6891  0.0600  1 Li 2.67, 1 Ce 2.92
Se  0.9400  0.0813  0.3109  1 Li 2.67, 1 Ce 2.92

Entry 2:
# LiCe4Se5

A relaxed structure of LiCe4Se5 (GGA-PBE, the Alexandria database).

Summary:
The calculation puts the energy at -6.023 eV per atom. For the magnetic moment, the calculation gives 3.97 μB per cell. The symmetry is I4/mmm, No. 139.

Lattice parameters (Å, degrees): 15.0011 15.0011 15.0011 163.95 163.95 22.77
Closest atoms and distances in Å follow each position.
Positions (direct):
Li  0.0000  0.0000  0.0000  6 Se 2.85-2.96
Ce  0.2004  0.2004  0.0000  6 Se 2.96-3.04
Ce  0.4028  0.4028  0.0000  6 Se 2.86-2.98
Ce  0.5972  0.5972  0.0000  6 Se 2.86-2.98
Ce  0.7996  0.7996  0.0000  6 Se 2.96-3.04
Se  0.0970  0.0970  0.0000  1 Li 2.85, 5 Ce 2.96-3.04
Se  0.3014  0.3014  0.0000  6 Ce 2.96-2.98
Se  0.5000  0.5000  0.0000  2 Ce 2.86, 4 Li 2.96
Se  0.6986  0.6986  0.0000  6 Ce 2.96-2.98
Se  0.9030  0.9030  0.0000  1 Li 2.85, 5 Ce 2.96-3.04

Entry 3:
# Li3CeSe3

A relaxed structure of Li3CeSe3 (GGA-PBE, the Alexandria database).

Summary:
The calculation puts the energy at -4.605 eV per atom. For the magnetic moment, the calculation gives 2.00 μB per cell. The symmetry is R-3, No. 148.

Lattice parameters (Å, degrees): 8.1440 8.1440 8.1440 54.43 54.43 54.43
Closest atoms and distances in Å follow each position.
Positions (direct):
Li  0.1303  0.8115  0.4256  4 Se 2.59-2.64
Li  0.1885  0.5744  0.8697  4 Se 2.59-2.64
Li  0.4256  0.1303  0.8115  4 Se 2.59-2.64
Li  0.5744  0.8697  0.1885  4 Se 2.59-2.64
Li  0.8115  0.4256  0.1303  4 Se 2.59-2.64
Li  0.8697  0.1885  0.5744  4 Se 2.59-2.64
Ce  0.3337  0.3337  0.3337  6 Se 2.96-2.99
Ce  0.6663  0.6663  0.6663  6 Se 2.96-2.99
Se  0.0814  0.4440  0.7292  4 Li 2.59-2.64
Se  0.2708  0.9186  0.5560  4 Li 2.59-2.64
Se  0.4440  0.7292  0.0814  4 Li 2.59-2.64
Se  0.5560  0.2708  0.9186  4 Li 2.59-2.64
Se  0.7292  0.0814  0.4440  4 Li 2.59-2.64
Se  0.9186  0.5560  0.2708  4 Li 2.59-2.64

Entry 4:
# LiCe5Se6

A relaxed structure of LiCe5Se6 (GGA-PBE, the Alexandria database).

Summary:
The calculation puts the energy at -6.115 eV per atom. For the magnetic moment, the calculation gives 5.49 μB per cell. The symmetry is C2/m, No. 12.

Lattice parameters (Å, degrees): 7.2487 7.2487 7.2354 99.65 99.65 120.08
Closest atoms and distances in Å follow each position.
Positions (direct):
Li  0.0000  0.0000  0.0000  6 Se 2.86-2.88
Ce  0.1690  0.8310  0.5000  6 Se 2.96-3.02
Ce  0.3343  0.6657  0.0000  6 Se 2.96
Ce  0.5000  0.5000  0.5000  6 Se 2.96-3.03
Ce  0.6657  0.3343  0.0000  6 Se 2.96
Ce  0.8310  0.1690  0.5000  6 Se 2.96-3.02
Se  0.0802  0.4038  0.2420  1 Li 2.86, 5 Ce 2.96-3.02
Se  0.2419  0.2419  0.7543  1 Li 2.88, 5 Ce 2.96-3.03
Se  0.4038  0.0802  0.2420  1 Li 2.86, 5 Ce 2.96-3.02
Se  0.5962  0.9198  0.7580  1 Li 2.86, 5 Ce 2.96-3.02
Se  0.7581  0.7581  0.2457  1 Li 2.88, 5 Ce 2.96-3.03
Se  0.9198  0.5962  0.7580  1 Li 2.86, 5 Ce 2.96-3.02

Entry 5:
# Li8CeSe6

A relaxed structure of Li8CeSe6 (GGA-PBE, the Alexandria database).

Summary:
The calculation puts the energy at -4.137 eV per atom. For the magnetic moment, the calculation gives 0.00 μB per cell. The symmetry is R-3, No. 148.

Lattice parameters (Å, degrees): 7.9305 7.9305 7.9305 54.15 54.15 54.15
Closest atoms and distances in Å follow each position.
Positions (direct):
Li  0.0305  0.3829  0.7174  4 Se 2.53-2.62
Li  0.1645  0.1645  0.1645  6 Se 2.89-2.97
Li  0.2826  0.9695  0.6171  4 Se 2.53-2.62
Li  0.3829  0.7174  0.0305  4 Se 2.53-2.62
Li  0.6171  0.2826  0.9695  4 Se 2.53-2.62
Li  0.7174  0.0305  0.3829  4 Se 2.53-2.62
Li  0.8355  0.8355  0.8355  6 Se 2.89-2.97
Li  0.9695  0.6171  0.2826  4 Se 2.53-2.62
Ce  0.5000  0.5000  0.5000  6 Se 2.87
Se  0.0951  0.7477  0.4153  4 Li 2.53-2.62
Se  0.2523  0.5847  0.9049  4 Li 2.53-2.62
Se  0.4153  0.0951  0.7477  4 Li 2.53-2.62
Se  0.5847  0.9049  0.2523  4 Li 2.53-2.62
Se  0.7477  0.4153  0.0951  4 Li 2.53-2.62
Se  0.9049  0.2523  0.5847  4 Li 2.53-2.62

Entry 6:
# LiCe3Se4

A relaxed structure of LiCe3Se4 (GGA-PBE, the Alexandria database).

Summary:
The calculation puts the energy at -5.917 eV per atom. For the magnetic moment, the calculation gives 2.97 μB per cell. The symmetry is Pm-3m, No. 221.

Lattice parameters (Å, degrees): 5.9021 5.9021 5.9021 90.00 90.00 90.00
Closest atoms and distances in Å follow each position.
Positions (direct):
Li  0.0000  0.0000  0.0000  6 Se 2.95
Ce  0.0000  0.5000  0.5000  6 Se 2.95
Ce  0.5000  0.0000  0.5000  6 Se 2.95
Ce  0.5000  0.5000  0.0000  6 Se 2.95
Se  0.0000  0.0000  0.5000  4 Ce 2.95, 2 Li 2.95
Se  0.0000  0.5000  0.0000  4 Ce 2.95, 2 Li 2.95
Se  0.5000  0.0000  0.0000  4 Ce 2.95, 2 Li 2.95
Se  0.5000  0.5000  0.5000  6 Ce 2.95